! PBE-GGA NpGe2PdPt, relaxed; values from VASP
&SYSTEM
  ibrav = 0, nat = 10, ntyp = 4
/
ATOMIC_SPECIES
Pt 195.08 Pt.upf
Pd 106.42 Pd.upf
Ge 72.64 Ge.upf
Np 237.00 Np.upf
ATOMIC_POSITIONS crystal
Pt 0.1357 0.0198 0.7088
Pt 0.8643 0.9802 0.2912
Pd 0.5702 0.7708 0.0887
Pd 0.4298 0.2292 0.9113
Ge 0.5997 0.2170 0.5836
Ge 0.4003 0.7830 0.4164
Ge 0.8287 0.2922 0.0505
Ge 0.1713 0.7078 0.9495
Np 0.1223 0.3965 0.3588
Np 0.8777 0.6035 0.6412
CELL_PARAMETERS angstrom
4.4211 0.0000 0.0000
2.2105 5.3005 -0.3959
2.2105 0.2813 7.5906
! Symmetry = C2/m (12)
! Crystal system = monoclinic
! ΔH_f (0 K) = -0.454 eV/atom
! M_tot = 3.6 μB/cell